[1]
Tl2RhCl2F4 | PBE | relaxed

```
9
Lattice="5.2881 -0.5487 -0.3733 0.5551 6.4924 0.6696 0.5551 3.0067 5.7930" Properties=species:S:1:pos:R:3 pbc="T T T"
Tl 1.7106 5.9641 4.0576
Tl 4.6879 2.9863 2.0317
F 4.4649 3.9067 4.6703
F 1.9335 3.1719 4.1704
F 4.4649 5.7785 1.9190
F 1.9335 5.0437 1.4191
Cl 1.9064 1.5589 1.0606
Cl 4.4920 7.3915 5.0288
Rh 2.6441 -0.2744 -0.1867
```

Results
uncorrected formation energy	-1.3854	eV per atom



[2]
RuClF2 | PBE | relaxed

```
4
Lattice="1.5632 0.0000 10.3312 -0.7816 1.3537 10.3312 -0.7816 -1.3537 10.3312" Properties=species:S:1:pos:R:3 pbc="T T T"
Cl 0.0000 0.0000 15.4968
F 0.0000 0.0000 1.8670
F 0.0000 0.0000 29.1266
Ru 0.0000 0.0000 0.0000
```

Results
uncorrected formation energy	-0.5909	eV per atom



[3]
RuCl3F | PBE | relaxed

```
10
Lattice="-0.4517 -4.6693 5.7662 0.8518 -1.9696 -7.1169 6.1232 4.0633 -1.1077" Properties=species:S:1:pos:R:3 pbc="T T T"
Cl 5.3313 -0.8808 -3.6970
Cl 1.2176 -2.1155 1.1532
Cl 1.6420 0.3257 -2.1936
Cl 5.3583 1.3478 -6.1165
Cl 1.8691 -0.7656 -5.2886
Cl 5.1310 2.4387 -3.0218
Ru -0.2132 -2.5447 2.8404
Ru 6.5617 2.8685 -4.7089
F 1.4355 -2.9503 -3.2027
F 5.1131 -0.0455 0.6588
```

Results
uncorrected formation energy	-0.7180	eV per atom



[4]
RuCl3F | PBE | relaxed

```
5
Lattice="4.6949 0.0000 0.0000 0.0000 4.6949 0.0000 0.0000 0.0000 4.6949" Properties=species:S:1:pos:R:3 pbc="T T T"
Ru 0.0000 0.0000 0.0000
Cl 2.3475 0.0000 0.0000
Cl 0.0000 2.3475 0.0000
Cl 0.0000 0.0000 2.3475
F 2.3475 2.3475 2.3475
```

Results
uncorrected formation energy	-0.0888	eV per atom



[5]
RuCl2F | PBE | relaxed

```
4
Lattice="1.8026 0.0000 8.0597 -0.9013 1.5611 8.0597 -0.9013 -1.5611 8.0597" Properties=species:S:1:pos:R:3 pbc="T T T"
Cl 0.0000 0.0000 2.1507
Cl 0.0000 0.0000 22.0285
Ru 0.0000 0.0000 0.0000
F 0.0000 0.0000 12.0896
```

Results
uncorrected formation energy	0.1896	eV per atom



[6]
RuCl3F | PBE | relaxed

```
20
Lattice="8.7766 0.0000 0.0000 0.0000 7.5868 1.1912 0.0000 2.6269 10.3126" Properties=species:S:1:pos:R:3 pbc="T T T"
Cl 3.4566 0.9155 0.9801
Cl 1.2164 9.6020 10.6452
Cl 5.3200 9.2982 10.5237
Cl 7.7273 4.0133 4.8212
Cl 5.3200 2.2290 6.1363
Cl 1.0493 6.2004 6.6826
Cl 1.2164 1.9251 6.0149
Cl 7.7273 4.8869 1.5263
Cl 7.5601 8.2886 5.4889
Cl 3.4566 7.9847 5.3675
Cl 1.0493 5.3268 9.9775
Cl 7.5601 0.6117 0.8586
Ru 7.5617 9.3311 10.5826
Ru 1.2149 0.8826 0.9212
Ru 7.5617 2.1961 6.0775
Ru 1.2149 8.0176 5.4263
F 1.1544 6.9992 3.5962
F 7.6222 8.3126 8.7525
F 1.1544 1.9011 2.7513
F 7.6222 3.2145 7.9076
```

Results
uncorrected formation energy	-0.7277	eV per atom



[7]
Ru2Cl8F | PBE | relaxed

```
11
Lattice="4.6857 -0.4776 -0.7220 -1.0247 8.4187 3.4893 -1.0723 -0.5193 9.0929" Properties=species:S:1:pos:R:3 pbc="T T T"
Ru 2.2054 6.3223 10.1031
Ru 0.3834 1.0996 1.7571
Cl 3.2621 -0.1155 5.5136
Cl -0.6733 7.5374 6.3466
Cl -0.0669 6.7630 10.7868
Cl -0.7005 2.4338 9.5462
Cl 2.6557 0.6588 1.0734
Cl 1.8009 5.1611 8.2475
Cl 0.7879 2.2607 3.6127
Cl 3.2893 4.9880 2.3140
F 0.0000 0.0000 0.0000
```

Results
uncorrected formation energy	-0.4805	eV per atom



[8]
RuClF2 | PBE | relaxed

```
4
Lattice="1.8712 0.0000 8.3709 -0.9356 1.6205 8.3709 -0.9356 -1.6205 8.3709" Properties=species:S:1:pos:R:3 pbc="T T T"
F 0.0000 0.0000 3.2225
F 0.0000 0.0000 21.8902
Cl 0.0000 0.0000 0.0000
Ru 0.0000 0.0000 12.5563
```

Results
uncorrected formation energy	-0.4357	eV per atom



Record-wise density values, in g/cm3: 5.74, 4.42, 2.74, 3.63, 4.66, 2.28, 2.34, 3.81